1.
Below is a geometry-optimized Na8HgAu3 structure, with properties calculated at the GGA-PBE level.

```
12
Lattice="0.000 5.065 7.102 4.968 0.000 7.102 4.968 5.065 0.000" Properties=species:S:1:pos:R:3 pbc="T T T"
Na 7.524 5.065 5.256
Na 4.968 2.464 5.301
Na 4.968 2.464 8.902
Na 7.524 5.065 8.948
Na 2.413 5.065 5.256
Na 4.968 7.667 5.301
Na 4.968 7.667 8.902
Na 2.413 5.065 8.948
Hg 4.968 5.065 7.102
Au 0.000 0.000 0.000
Au 2.484 2.533 3.551
Au 7.452 7.598 10.653
```

**Energy of formation**: -0.172 eV per atom

2.
Below is a geometry-optimized BMoAsSe2 structure, with properties calculated at the GGA-PBE level.

```
5
Lattice="4.925 0.000 0.000 0.000 4.925 0.000 0.000 0.000 4.899" Properties=species:S:1:pos:R:3 pbc="T T T"
B 0.000 0.000 0.000
Mo 2.463 2.463 2.450
As 2.463 2.463 0.000
Se 0.000 2.463 2.450
Se 2.463 0.000 2.450
```

**ΔE to the lowest computed polymorph**: 1.191 eV/f.u.
**E_form (uncorrected)**: 1.166 eV per atom

3.
Below is a geometry-optimized TaMn structure, with properties calculated at the GGA-PBE level.

```
8
Lattice="5.029 0.000 0.000 0.000 5.029 0.000 0.000 0.000 5.062" Properties=species:S:1:pos:R:3 pbc="T T T"
Ta 1.058 1.058 0.000
Ta 1.456 3.573 2.531
Ta 3.573 1.456 2.531
Ta 3.971 3.971 0.000
Mn 1.027 1.027 2.531
Mn 1.487 3.542 0.000
Mn 3.542 1.487 0.000
Mn 4.002 4.002 2.531
```

**Energy of formation**: 0.570 eV per atom

4.
Below is a geometry-optimized Rb3SnAs2O8 structure, with properties calculated at the GGA-PBE level.

```
14
Lattice="5.960 0.000 0.000 -2.980 5.162 0.000 0.000 0.000 8.161" Properties=species:S:1:pos:R:3 pbc="T T T"
Rb 0.000 0.000 0.000
Rb 0.000 3.441 5.915
Rb 2.980 1.721 2.247
Sn 0.000 0.000 4.081
As 0.000 3.441 2.178
As 2.980 1.721 5.983
O 0.000 1.783 2.768
O -1.436 4.270 2.768
O 0.000 3.441 0.492
O 1.544 0.892 5.394
O 1.436 4.270 2.768
O 2.980 1.721 7.670
O 4.416 0.892 5.394
O 2.980 3.379 5.394
```

**E_form (uncorrected)**: -1.506 eV per atom

5.
Below is a geometry-optimized Ta2MoPb structure, with properties calculated at the GGA-PBE level.

```
4
Lattice="1.682 -2.505 0.000 1.682 2.505 0.000 0.000 0.000 9.211" Properties=species:S:1:pos:R:3 pbc="T T T"
Ta 0.000 0.000 0.000
Ta 1.682 0.000 2.241
Mo 1.682 0.000 7.149
Pb 0.000 0.000 4.744
```

**Energy of formation**: 0.313 eV per atom

6.
Below is a geometry-optimized Rb2NbI4Br2 structure, with properties calculated at the GGA-PBE level.

```
9
Lattice="6.608 -4.133 0.000 6.608 4.133 0.000 -0.867 0.000 6.757" Properties=species:S:1:pos:R:3 pbc="T T T"
Rb 1.867 0.000 1.766
Rb 10.482 0.000 4.991
Nb 6.608 0.000 0.000
I 5.150 2.021 1.383
I 7.199 2.021 5.374
I 5.150 -2.021 1.383
I 7.199 -2.021 5.374
Br 3.990 0.000 4.902
Br 8.359 0.000 1.855
```

**E_form (uncorrected)**: -1.020 eV per atom

7.
Below is a geometry-optimized Pm4Mg5Co2 structure, with properties calculated at the GGA-PBE level.

```
11
Lattice="7.975 0.000 0.000 0.000 3.653 0.000 -0.767 0.000 9.641" Properties=species:S:1:pos:R:3 pbc="T T T"
Pm 1.096 0.000 3.248
Pm 0.890 0.000 9.119
Pm 6.318 0.000 0.523
Pm 6.112 0.000 6.393
Mg 0.904 1.827 6.251
Mg 3.480 1.827 1.638
Mg 3.604 1.827 4.821
Mg 3.727 1.827 8.003
Mg 6.304 1.827 3.390
Co 0.468 1.827 1.321
Co 6.740 1.827 8.321
```

**Energy of formation**: -0.078 eV per atom

no.,electronic total energy (eV per atom)
1,-1.90
2,-4.66
3,-9.94
4,-5.50
5,-9.25
6,-3.41
7,-3.82